Entry 1:
A geometry-optimized K2MgRu structure, computed with PBE.

As for the energy of formation from the pure elements: 0.57 eV per atom. Its spin magnetization is 1.07 μB per formula unit.

It has space group C2/m (No. 12), with a = 20.467 Å, b = 3.414 Å, c = 4.105 Å, α = 90.00°, β = 101.17° and γ = 90.00°. The asymmetric unit holds K at (0.146, 0.000, 0.142), Mg at (0.000, 0.000, 0.500) and Ru at (0.000, 0.500, 0.000).

=====

Entry 2:
A geometry-optimized KMg2Ru structure, computed with PBE.

As for the energy of formation from the pure elements: 0.77 eV per atom. As for the excess energy over the best structure of this formula in the dataset: 526 meV/atom. Its spin magnetization is 0.00 μB per formula unit.

It has space group F-43m (No. 216), with a = 7.060 Å, b = 7.060 Å, c = 7.060 Å, α = 90.00°, β = 90.00° and γ = 90.00°. The asymmetric unit holds K at (0.000, 0.000, 0.000), Mg at (0.000, 0.000, 0.500), Mg at (0.250, 0.250, 0.250) and Ru at (0.250, 0.250, 0.750).

=====

Number 1: ρ 2.403 g/cm³. Number 2: ρ 3.564 g/cm³.